(1)
Below is KCu2HgS2 after structural relaxation, with properties calculated at the GGA-PBE level.

The structure in extended XYZ format:
```
12
Lattice="-2.3578 -1.2311 4.6703 3.2405 -5.3818 0.2173 3.8852 7.4873 3.9350" Properties=species:S:1:pos:R:3 pbc="T T T"
S 0.6670 -1.8901 4.4774
S 0.7156 1.5907 2.3268
K 3.4842 -0.6957 3.1218
S 4.1009 2.7646 4.3453
Cu 4.7291 1.2644 5.8336
Cu 3.5657 0.6569 8.1382
Cu 0.0388 -0.3899 2.9891
Hg 3.8285 5.2767 4.8700
S 4.0523 -0.7162 6.4958
Cu 1.2022 0.2176 0.6845
Hg 0.9394 -4.4023 3.9527
K 1.2838 1.5701 5.7009
```

Computed properties:
- energy relative to the elements, uncorrected (eV/atom) = -0.402

(2)
Below is PaTaWC3 after structural relaxation, with properties calculated at the GGA-PBE level.

The structure in extended XYZ format:
```
12
Lattice="3.2444 0.0000 0.0000 0.0000 5.6166 0.0987 0.0000 -2.0081 8.2119" Properties=species:S:1:pos:R:3 pbc="T T T"
C 0.8111 3.2160 4.0845
C 2.4333 0.3925 4.2260
W 0.8111 -0.5765 5.2174
W 2.4333 4.1849 3.0931
C 0.8111 0.7675 6.9463
C 2.4333 -0.0879 1.2841
Ta 0.8111 4.2172 0.5072
C 2.4333 2.8410 1.3642
Pa 2.4333 2.2272 5.7769
Ta 2.4333 -0.6087 7.8034
Pa 0.8111 1.3813 2.5336
C 0.8111 3.6964 7.0264
```

Computed properties:
- ΔH_f (0 K) (eV per atom) = -0.457